Record 1
BaMn4Br: relaxed, PBE.

abc: 5.6966 5.6966 5.6966
angles: 60.00 60.00 60.00
Last column: nearest neighbours and their distance in Å.
Fractional coordinates of all 6 atoms:
1 Ba 0.0000 0.0000 0.0000  12 Mn 3.33, 4 Br 3.49
2 Mn 0.3725 0.3725 0.3725  6 Mn 2.79-2.91
3 Mn 0.3725 0.3725 0.8826  6 Mn 2.79-2.91
4 Mn 0.3725 0.8826 0.3725  6 Mn 2.79-2.91
5 Mn 0.8826 0.3725 0.3725  6 Mn 2.79-2.91
6 Br 0.7500 0.7500 0.7500  12 Mn 3.35, 4 Ba 3.49

Calculated values
size of the total moment = 14.98 Bohr magnetons per cell
SG = F-43m, No. 216
V = 21.8 Å³/atom

***

Record 2
BaMn2Br: relaxed, PBE.

abc: 3.6870 6.3556 5.0491
angles: 90.00 90.65 90.00
Last column: nearest neighbours and their distance in Å.
Fractional coordinates of all 4 atoms:
1 Ba 0.0000 0.0000 0.0000  4 Br 3.11-3.14
2 Mn 0.2864 0.5000 0.7707  1 Mn 2.79
3 Mn 0.7136 0.5000 0.2293  1 Mn 2.79
4 Br 0.5000 0.0000 0.5000  4 Ba 3.11-3.14

Calculated values
size of the total moment = 8.36 Bohr magnetons per cell
SG = P2/m, No. 10
V = 29.6 Å³/atom

***

Record 3
BaMn3Br: relaxed, PBE.

abc: 4.9882 4.9882 4.9882
angles: 90.00 90.00 90.00
Last column: nearest neighbours and their distance in Å.
Fractional coordinates of all 5 atoms:
1 Ba 0.0000 0.0000 0.0000  12 Mn 3.53
2 Mn 0.0000 0.5000 0.5000  2 Br 2.49
3 Mn 0.5000 0.0000 0.5000  2 Br 2.49
4 Mn 0.5000 0.5000 0.0000  2 Br 2.49
5 Br 0.5000 0.5000 0.5000  6 Mn 2.49

Calculated values
size of the total moment = 10.05 Bohr magnetons per cell
SG = Pm-3m, No. 221
V = 24.8 Å³/atom

***

Record 4
BaMn2Br: relaxed, PBE.

abc: 4.3356 4.3356 7.6075
angles: 90.69 90.69 58.20
Last column: nearest neighbours and their distance in Å.
Fractional coordinates of all 4 atoms:
1 Ba 0.0000 0.0000 0.0000  3 Br 3.34-3.35, 5 Mn 3.38-3.73
2 Mn 0.3348 0.3348 0.6290  3 Mn 2.52-2.56, 1 Br 2.54
3 Mn 0.6659 0.6659 0.6974  3 Mn 2.52-2.56
4 Br 0.3312 0.3312 0.2954  1 Mn 2.54

Calculated values
size of the total moment = 0.40 Bohr magnetons per cell
SG = Cm, No. 8
V = 30.4 Å³/atom

***

| no. | E_form (uncorrected) (eV per formula unit) |
| --- | --- |
| 1 | 3.76 |
| 2 | 0.99 |
| 3 | 4.30 |
| 4 | 0.13 |